A geometry-optimized Pd3AuO6 structure, computed with PBE.

POSCAR file:
```
Pd3AuO6
1.0
5.3893 0.0000 0.0000
2.6947 4.6673 0.0000
2.6947 1.5558 4.8796
Pd Au O
3 1 6
Direct
0.3455 0.3455 0.9634
0.6549 0.6549 0.0352
0.1483 0.1483 0.5552
0.8550 0.8550 0.4350
0.9480 0.5368 0.2406
0.2746 0.9480 0.2406
0.5368 0.2746 0.2406
0.0582 0.4335 0.7632
0.7451 0.0582 0.7632
0.4335 0.7451 0.7632
```

Space group: No. 146
Theoretical density in kg/m³: 8283
E in eV per atom: -4.989
Formation energy without anion corrections in eV per formula unit: -1.29
M_tot in μB per atom: 0.00